! DyHoCd3 | Alexandria | PBE | optimized geometry; values from VASP
! ΔE to the lowest computed polymorph: 0.056 eV per atom
! Space-group type: No. 14
&SYSTEM
  ibrav = 0, nat = 20, ntyp = 3
/
ATOMIC_SPECIES
Dy 162.50 Dy.upf
Ho 164.93 Ho.upf
Cd 112.41 Cd.upf
ATOMIC_POSITIONS angstrom
Dy 0.262 0.774 1.531
Dy -1.873 2.449 6.378
Dy 5.699 3.996 3.317
Dy 3.564 5.671 8.165
Ho -1.454 4.370 9.246
Ho 0.681 5.298 4.398
Ho 3.144 1.147 5.297
Ho 5.280 2.075 0.449
Cd 0.080 4.008 1.310
Cd -2.056 5.659 6.158
Cd -1.745 1.019 9.131
Cd 0.390 2.204 4.283
Cd 0.632 0.310 7.345
Cd 2.768 2.913 2.498
Cd 1.058 3.532 7.198
Cd 3.193 6.136 2.350
Cd 3.436 4.241 5.412
Cd 5.571 5.426 0.564
Cd 5.881 0.786 3.538
Cd 3.746 2.437 8.385
CELL_PARAMETERS angstrom
8.096 0.000 0.000
0.000 6.445 0.000
-4.271 0.000 9.695